[1]
Sr11Pt4Pb9 PBE relaxed; density of states at the Fermi level = 11.7 states/eV/f.u.; space-group type = Cmmm (65); raw total energy = -3.769 eV per atom
1.0
-1.006 -3.413 -2.188
6.650 5.151 -11.093
8.321 -7.657 8.120
Sr Pt Pb
11 4 9
direct
0.000 0.585 0.925 Sr
0.000 0.415 0.075 Sr
0.000 0.925 0.585 Sr
0.000 0.075 0.415 Sr
0.000 0.625 0.375 Sr
0.000 0.375 0.625 Sr
0.000 0.833 0.167 Sr
0.000 0.167 0.833 Sr
0.000 0.000 0.000 Sr
0.000 0.689 0.689 Sr
0.000 0.311 0.311 Sr
0.500 0.554 0.760 Pt
0.500 0.446 0.240 Pt
0.500 0.760 0.554 Pt
0.500 0.240 0.446 Pt
0.500 0.627 0.165 Pb
0.500 0.373 0.835 Pb
0.500 0.165 0.627 Pb
0.500 0.835 0.373 Pb
0.500 0.779 0.920 Pb
0.500 0.221 0.080 Pb
0.500 0.920 0.779 Pb
0.500 0.080 0.221 Pb
0.500 0.500 0.500 Pb



[2]
SrPt2Pb2 PBE relaxed; density of states at the Fermi level = 3.1 states/eV/f.u.; space-group type = I4/mmm (139); raw total energy = -4.702 eV per atom
1.0
-1.451 0.070 -4.484
-0.728 -4.654 0.163
-6.551 -1.375 -0.379
Pb Sr Pt
2 1 2
direct
0.750 0.250 0.500 Pb
0.250 0.750 0.500 Pb
0.000 0.000 0.000 Sr
0.387 0.387 0.226 Pt
0.613 0.613 0.774 Pt



[3]
SrPt3Pb3 PBE relaxed; density of states at the Fermi level = 2.6 states/eV/f.u.; space-group type = P6_3/m (176); raw total energy = -4.841 eV per atom
1.0
-4.149 2.031 0.775
-4.390 -7.480 -3.898
1.802 0.118 9.337
Sr Pt Pb
2 6 6
direct
0.750 0.333 0.667 Sr
0.250 0.667 0.333 Sr
0.750 0.954 0.400 Pt
0.750 0.446 0.046 Pt
0.750 0.600 0.554 Pt
0.250 0.046 0.600 Pt
0.250 0.554 0.954 Pt
0.250 0.400 0.446 Pt
0.750 0.751 0.053 Pb
0.750 0.302 0.249 Pb
0.750 0.947 0.699 Pb
0.250 0.249 0.947 Pb
0.250 0.698 0.751 Pb
0.250 0.053 0.301 Pb